A plane-wave DFT calculation with PBE was carried out for an optimized crystal structure of Nb6Al2H.

Values from the calculation:
VASP energy	-144.6	eV for the cell shown
crystal system	monoclinic

a b c (Å): 5.502 5.977 10.413
angles (deg): 90.00 121.80 90.00
Positions (direct):
Nb1 0.112 0.224 0.482
Nb2 0.112 0.276 0.982
Nb3 0.344 0.707 0.482
Nb4 0.344 0.793 0.982
Nb5 0.374 0.007 0.250
Nb6 0.374 0.493 0.750
Nb7 0.626 0.507 0.250
Nb8 0.626 0.993 0.750
Nb9 0.656 0.207 0.018
Nb10 0.656 0.293 0.518
Nb11 0.888 0.724 0.018
Nb12 0.888 0.776 0.518
Al1 0.136 0.083 0.748
Al2 0.136 0.417 0.248
Al3 0.864 0.583 0.752
Al4 0.864 0.917 0.252
H1 0.500 0.000 0.500
H2 0.500 0.500 0.000